A relaxed MnCoRh2 crystal. Source: Alexandria via LeMat-Bulk, functional PBE.

Cell lengths 5.3163, 5.3163, 10.0441 Å; angles 90.00, 90.00, 90.00 degrees
Closest atoms and distances in Å follow each position.
Space group I-42d (No. 122)
Inequivalent atoms, fractional coordinates:
1 Mn 0.0000 0.0000 0.0000 [4 per cell]  4 Rh 2.25
2 Co 0.0000 0.0000 0.5000 [4 per cell]  4 Rh 2.27
3 Rh 0.2458 0.2500 0.1250 [8 per cell]  2 Mn 2.25, 2 Co 2.27

Calculated values
size of the total moment: 0.00 μB/f.u.
VASP energy: -6.72 eV/atom
formation energy from the elements: 1.023 eV/atom

A relaxed MnCoRh5 crystal. Source: Alexandria via LeMat-Bulk, functional PBE.

Cell lengths 3.8658, 3.8658, 6.7435 Å; angles 90.00, 90.00, 90.00 degrees
Closest atoms and distances in Å follow each position.
Space group P4/mmm (No. 123)
Inequivalent atoms, fractional coordinates:
1 Mn 0.0000 0.0000 0.0000 [1 per cell]  12 Rh 2.69-2.73
2 Co 0.5000 0.5000 0.5000 [1 per cell]  8 Rh 2.45
3 Rh 0.0000 0.5000 0.2764 [4 per cell]  2 Co 2.45, 2 Mn 2.69, 6 Rh 2.69-2.73
4 Rh 0.5000 0.5000 0.0000 [1 per cell]  8 Rh 2.69, 4 Mn 2.73

Calculated values
size of the total moment: 4.88 μB/f.u.
VASP energy: -7.39 eV/atom
formation energy from the elements: 0.185 eV/atom

A relaxed Mn2CoRh crystal. Source: Alexandria via LeMat-Bulk, functional PBE.

Cell lengths 2.9046, 4.3822, 8.1229 Å; angles 90.00, 90.00, 90.00 degrees
Closest atoms and distances in Å follow each position.
Space group Cmmm (No. 65)
Inequivalent atoms, fractional coordinates:
1 Mn 0.0000 0.0000 0.2387 [4 per cell]  2 Co 2.42, 2 Rh 2.57, 4 Mn 2.63
2 Co 0.0000 0.5000 0.0000 [2 per cell]  4 Mn 2.42, 4 Co 2.63
3 Rh 0.0000 0.5000 0.5000 [2 per cell]  4 Mn 2.57, 4 Rh 2.63

Calculated values
excess energy over the best structure of this formula in the dataset: 0.222 eV/atom
size of the total moment: 7.92 μB/f.u.
VASP energy: -8.05 eV/atom
formation energy from the elements: 0.150 eV/atom

A relaxed Mn2Co2Rh crystal. Source: Alexandria via LeMat-Bulk, functional PBE.

Cell lengths 6.7213, 6.7213, 2.5591 Å; angles 90.00, 90.00, 90.00 degrees
Closest atoms and distances in Å follow each position.
Space group P4/mbm (No. 127)
Inequivalent atoms, fractional coordinates:
1 Mn 0.1176 0.3824 0.0000 [4 per cell]  1 Mn 2.24, 6 Co 2.35-2.38
2 Co 0.1748 0.6748 0.5000 [4 per cell]  6 Mn 2.35-2.38, 2 Co 2.56
3 Rh 0.0000 0.0000 0.0000 [2 per cell]  2 Rh 2.56, 4 Mn 2.69, 8 Co 2.79

Calculated values
excess energy over the best structure of this formula in the dataset: 0.071 eV/atom
size of the total moment: 1.34 μB/f.u.
VASP energy: -7.76 eV/atom
formation energy from the elements: 0.217 eV/atom

A relaxed Mn3CoRh12 crystal. Source: Alexandria via LeMat-Bulk, functional PBE.

Cell lengths 3.8064, 3.8064, 15.2008 Å; angles 90.00, 90.00, 90.00 degrees
Closest atoms and distances in Å follow each position.
Space group P4/mmm (No. 123)
Inequivalent atoms, fractional coordinates:
1 Mn 0.0000 0.0000 0.0000 [1 per cell]  12 Rh 2.69
2 Mn 0.0000 0.0000 0.2488 [2 per cell]  12 Rh 2.67-2.72
3 Co 0.0000 0.0000 0.5000 [1 per cell]  12 Rh 2.67-2.69
4 Rh 0.0000 0.5000 0.1253 [4 per cell]  4 Mn 2.67-2.69, 8 Rh 2.69-2.70
5 Rh 0.0000 0.5000 0.3769 [4 per cell]  2 Co 2.67, 8 Rh 2.67-2.70, 2 Mn 2.72
6 Rh 0.5000 0.5000 0.0000 [1 per cell]  4 Mn 2.69, 8 Rh 2.69
7 Rh 0.5000 0.5000 0.2511 [2 per cell]  4 Mn 2.69, 8 Rh 2.70
8 Rh 0.5000 0.5000 0.5000 [1 per cell]  8 Rh 2.67, 4 Co 2.69

Calculated values
size of the total moment: 10.73 μB/f.u.
VASP energy: -7.75 eV/atom
formation energy from the elements: -0.071 eV/atom

A relaxed Mn2CoRh crystal. Source: Alexandria via LeMat-Bulk, functional PBE.

Cell lengths 2.5745, 2.5745, 24.6697 Å; angles 90.00, 90.00, 120.00 degrees
Closest atoms and distances in Å follow each position.
Space group R-3m (No. 166, hexagonal axes)
Inequivalent atoms, fractional coordinates:
1 Mn 0.0000 0.0000 0.2469 [6 per cell]  3 Co 2.48, 6 Mn 2.57, 3 Rh 2.60
2 Co 0.0000 0.0000 0.5000 [3 per cell]  6 Mn 2.48, 6 Co 2.57
3 Rh 0.0000 0.0000 0.0000 [3 per cell]  6 Rh 2.57, 6 Mn 2.60

Calculated values
excess energy over the best structure of this formula in the dataset: 0.231 eV/atom
size of the total moment: 2.37 μB/f.u.
VASP energy: -8.04 eV/atom
formation energy from the elements: 0.158 eV/atom